Entry from Alexandria via LeMat-Bulk: a relaxed VGe2WO8 crystal (PBE with a Hubbard U).

size of the total moment	3.000	μB/f.u.
volume	11.38	A^3/atom
DFT total energy	-6.93	eV per atom

```
data_VGe2WO8
_cell_length_a 6.609
_cell_length_b 6.609
_cell_length_c 6.251
_cell_angle_alpha 90.00
_cell_angle_beta 90.00
_cell_angle_gamma 90.00
_symmetry_space_group_name_H-M 'I -4 m 2'
_symmetry_Int_Tables_number 119
_symmetry_space_group_name_Hall 'I -4 -2'
loop_
_atom_site_label
_atom_site_type_symbol
_atom_site_fract_x
_atom_site_fract_y
_atom_site_fract_z
V1 V 0.000 0.000 0.000
Ge1 Ge 0.000 0.000 0.500
Ge2 Ge 0.000 0.500 0.250
W1 W 0.000 0.500 0.750
O1 O 0.000 0.189 0.695
O2 O 0.000 0.317 0.042
```